# ZnCu15H24Cl8O24, optimized geometry, DFT GGA-PBEsol
data_ZnCu15H24Cl8O24
_chemical_formula_sum 'Zn1 Cu15 H24 Cl8 O24'
_space_group_name_H-M_alt 'P 1'
_space_group_IT_number 1
_space_group_name_Hall 'P 1'
_cell_length_a 6.891
_cell_length_b 6.891
_cell_length_c 18.387
_cell_angle_alpha 79.20
_cell_angle_beta 79.20
_cell_angle_gamma 60.00
loop_
_atom_site_label
_atom_site_fract_x
_atom_site_fract_y
_atom_site_fract_z
Zn1 0.500 0.500 0.500
Cu1 0.625 0.125 0.125
Cu2 0.875 0.375 0.375
Cu3 0.375 0.875 0.875
Cu4 0.125 0.625 0.625
Cu5 0.375 0.875 0.375
Cu6 0.625 0.125 0.625
Cu7 0.125 0.625 0.125
Cu8 0.875 0.375 0.875
Cu9 0.125 0.125 0.125
Cu10 0.375 0.375 0.375
Cu11 0.875 0.875 0.875
Cu12 0.625 0.625 0.625
Cu13 0.250 0.250 0.249
Cu14 0.000 0.000 0.000
Cu15 0.750 0.750 0.751
H1 0.869 0.470 0.192
H2 0.115 0.722 0.441
H3 0.619 0.220 0.942
H4 0.369 0.969 0.692
H5 0.470 0.869 0.192
H6 0.722 0.115 0.441
H7 0.220 0.619 0.942
H8 0.969 0.369 0.692
H9 0.470 0.470 0.192
H10 0.722 0.722 0.441
H11 0.220 0.220 0.942
H12 0.969 0.969 0.692
H13 0.631 0.031 0.308
H14 0.885 0.278 0.559
H15 0.381 0.780 0.058
H16 0.131 0.530 0.808
H17 0.031 0.631 0.308
H18 0.278 0.885 0.559
H19 0.780 0.381 0.058
H20 0.530 0.131 0.808
H21 0.031 0.031 0.308
H22 0.278 0.278 0.559
H23 0.780 0.780 0.058
H24 0.530 0.530 0.808
Cl1 0.331 0.331 0.008
Cl2 0.581 0.581 0.258
Cl3 0.081 0.081 0.758
Cl4 0.830 0.830 0.509
Cl5 0.170 0.170 0.491
Cl6 0.419 0.419 0.742
Cl7 0.919 0.919 0.242
Cl8 0.669 0.669 0.992
O1 0.029 0.401 0.169
O2 0.275 0.653 0.418
O3 0.779 0.151 0.919
O4 0.531 0.900 0.669
O5 0.401 0.029 0.169
O6 0.653 0.275 0.418
O7 0.151 0.779 0.919
O8 0.900 0.531 0.669
O9 0.401 0.401 0.169
O10 0.653 0.653 0.418
O11 0.151 0.151 0.919
O12 0.900 0.900 0.669
O13 0.469 0.100 0.331
O14 0.725 0.347 0.582
O15 0.221 0.849 0.081
O16 0.971 0.599 0.831
O17 0.100 0.469 0.331
O18 0.347 0.725 0.582
O19 0.849 0.221 0.081
O20 0.599 0.971 0.831
O21 0.100 0.100 0.331
O22 0.347 0.347 0.582
O23 0.849 0.849 0.081
O24 0.599 0.599 0.831
# Final energy: -345.72 eV/f.u.